! PBE AcDy6Er12, optimized geometry; values from VASP
! SG   R-3m
! Magnetic moment   0.000 μB per formula unit
! Energy of formation from the pure elements   0.42 eV/atom
! Fermi-level density of states   23.089 states/eV per cell
&SYSTEM
  ibrav = 0, nat = 19, ntyp = 3
/
ATOMIC_SPECIES
Ac 227.00 Ac.upf
Dy 162.50 Dy.upf
Er 167.26 Er.upf
CELL_PARAMETERS angstrom
8.937 -1.085 -1.940
-2.163 8.739 -1.940
-0.961 -1.085 9.095
ATOMIC_POSITIONS crystal
Ac 0.000 0.000 0.000
Dy 0.695 0.264 0.695
Dy 0.695 0.695 0.264
Dy 0.264 0.695 0.695
Dy 0.305 0.305 0.736
Dy 0.305 0.736 0.305
Dy 0.736 0.305 0.305
Er 0.889 0.111 0.500
Er 0.380 0.159 0.380
Er 0.380 0.380 0.159
Er 0.841 0.620 0.620
Er 0.620 0.620 0.841
Er 0.620 0.841 0.620
Er 0.500 0.889 0.111
Er 0.111 0.500 0.889
Er 0.111 0.889 0.500
Er 0.500 0.111 0.889
Er 0.889 0.500 0.111
Er 0.159 0.380 0.380